Entry a
Bi2P3O12 after structural relaxation. Source: the Alexandria database, functional PBE.

## Properties
V = 15.6 Å³ per atom
total magnetic moment = 0.00 Bohr magnetons per cell

Cell: 9.498 9.498 9.498 Å, 54.77 54.77 54.77°
Fractional positions:
Bi (0.144, 0.144, 0.144)
Bi (0.345, 0.345, 0.345)
Bi (0.655, 0.655, 0.655)
Bi (0.856, 0.856, 0.856)
P (0.048, 0.746, 0.452)
P (0.254, 0.548, 0.952)
P (0.452, 0.048, 0.746)
P (0.548, 0.952, 0.254)
P (0.746, 0.452, 0.048)
P (0.952, 0.254, 0.548)
O (0.036, 0.789, 0.592)
O (0.137, 0.749, 0.861)
O (0.139, 0.863, 0.251)
O (0.148, 0.206, 0.531)
O (0.167, 0.534, 0.492)
O (0.206, 0.531, 0.148)
O (0.211, 0.408, 0.964)
O (0.251, 0.139, 0.863)
O (0.408, 0.964, 0.211)
O (0.466, 0.508, 0.833)
O (0.469, 0.852, 0.794)
O (0.492, 0.167, 0.534)
O (0.508, 0.833, 0.466)
O (0.531, 0.148, 0.206)
O (0.534, 0.492, 0.167)
O (0.592, 0.036, 0.789)
O (0.749, 0.861, 0.137)
O (0.789, 0.592, 0.036)
O (0.794, 0.469, 0.852)
O (0.833, 0.466, 0.508)
O (0.852, 0.794, 0.469)
O (0.861, 0.137, 0.749)
O (0.863, 0.251, 0.139)
O (0.964, 0.211, 0.408)



Entry b
Bi2P3O12 after structural relaxation. Source: the Alexandria database, functional PBE.

## Properties
V = 14.9 Å³ per atom
total magnetic moment = 0.00 Bohr magnetons per cell

Cell: 8.810 9.235 15.098 Å, 90.00 124.49 90.00°
Fractional positions:
Bi (0.130, 0.033, 0.384)
Bi (0.130, 0.467, 0.884)
Bi (0.365, 0.041, 0.113)
Bi (0.365, 0.459, 0.613)
Bi (0.635, 0.541, 0.387)
Bi (0.635, 0.959, 0.887)
Bi (0.870, 0.533, 0.116)
Bi (0.870, 0.967, 0.616)
P (0.039, 0.617, 0.644)
P (0.039, 0.883, 0.144)
P (0.265, 0.124, 0.662)
P (0.265, 0.376, 0.162)
P (0.451, 0.749, 0.494)
P (0.451, 0.751, 0.994)
P (0.549, 0.249, 0.006)
P (0.549, 0.251, 0.506)
P (0.735, 0.624, 0.838)
P (0.735, 0.876, 0.338)
P (0.961, 0.117, 0.856)
P (0.961, 0.383, 0.356)
O (0.059, 0.730, 0.190)
O (0.059, 0.770, 0.690)
O (0.113, 0.000, 0.231)
O (0.113, 0.500, 0.731)
O (0.141, 0.087, 0.701)
O (0.141, 0.413, 0.201)
O (0.151, 0.607, 0.592)
O (0.151, 0.893, 0.092)
O (0.164, 0.100, 0.541)
O (0.164, 0.400, 0.041)
O (0.170, 0.095, 0.944)
O (0.170, 0.405, 0.444)
O (0.255, 0.692, 0.945)
O (0.255, 0.808, 0.445)
O (0.317, 0.213, 0.192)
O (0.317, 0.287, 0.692)
O (0.406, 0.132, 0.440)
O (0.406, 0.368, 0.940)
O (0.442, 0.026, 0.720)
O (0.442, 0.474, 0.220)
O (0.455, 0.693, 0.398)
O (0.455, 0.807, 0.898)
O (0.494, 0.625, 0.576)
O (0.494, 0.875, 0.076)
O (0.506, 0.125, 0.924)
O (0.506, 0.375, 0.424)
O (0.545, 0.193, 0.102)
O (0.545, 0.307, 0.602)
O (0.558, 0.526, 0.780)
O (0.558, 0.974, 0.280)
O (0.594, 0.632, 0.060)
O (0.594, 0.868, 0.560)
O (0.683, 0.713, 0.308)
O (0.683, 0.787, 0.808)
O (0.745, 0.192, 0.555)
O (0.745, 0.308, 0.055)
O (0.830, 0.595, 0.556)
O (0.830, 0.905, 0.056)
O (0.836, 0.600, 0.959)
O (0.836, 0.900, 0.459)
O (0.849, 0.107, 0.908)
O (0.849, 0.393, 0.408)
O (0.859, 0.587, 0.799)
O (0.859, 0.913, 0.299)
O (0.887, 0.000, 0.769)
O (0.887, 0.500, 0.269)
O (0.941, 0.230, 0.310)
O (0.941, 0.270, 0.810)



Preferred: entry a; penalty for the next structure: 0.6 kJ/mol of atoms.



Entry a
BiP2O7 after structural relaxation. Source: the Alexandria database, functional PBE.

## Properties
V = 15.7 Å³ per atom
total magnetic moment = 4.09 Bohr magnetons per cell

Cell: 5.228 9.392 13.664 Å, 90.00 110.61 90.00°
Fractional positions:
Bi (0.063, 0.220, 0.271)
Bi (0.063, 0.280, 0.771)
Bi (0.937, 0.720, 0.229)
Bi (0.937, 0.780, 0.729)
P (0.261, 0.724, 0.529)
P (0.261, 0.776, 0.029)
P (0.430, 0.525, 0.701)
P (0.430, 0.975, 0.201)
P (0.570, 0.025, 0.799)
P (0.570, 0.475, 0.299)
P (0.739, 0.224, 0.971)
P (0.739, 0.276, 0.471)
O (0.052, 0.702, 0.067)
O (0.052, 0.798, 0.567)
O (0.164, 0.705, 0.412)
O (0.164, 0.795, 0.912)
O (0.247, 0.594, 0.753)
O (0.247, 0.906, 0.253)
O (0.270, 0.075, 0.757)
O (0.270, 0.425, 0.257)
O (0.310, 0.564, 0.577)
O (0.310, 0.936, 0.077)
O (0.418, 0.137, 0.208)
O (0.418, 0.363, 0.708)
O (0.466, 0.196, 0.426)
O (0.466, 0.304, 0.926)
O (0.534, 0.696, 0.074)
O (0.534, 0.804, 0.574)
O (0.582, 0.637, 0.292)
O (0.582, 0.863, 0.792)
O (0.690, 0.064, 0.923)
O (0.690, 0.436, 0.423)
O (0.730, 0.575, 0.743)
O (0.730, 0.925, 0.243)
O (0.753, 0.094, 0.747)
O (0.753, 0.406, 0.247)
O (0.836, 0.205, 0.088)
O (0.836, 0.295, 0.588)
O (0.948, 0.202, 0.433)
O (0.948, 0.298, 0.933)



Entry b
BiP2O7 after structural relaxation. Source: the Alexandria database, functional PBE.

## Properties
V = 15.0 Å³ per atom
total magnetic moment = 0.00 Bohr magnetons per cell

Cell: 6.815 6.815 14.050 Å, 106.00 106.00 80.02°
Fractional positions:
Bi (0.117, 0.620, 0.862)
Bi (0.380, 0.883, 0.638)
Bi (0.620, 0.117, 0.362)
Bi (0.883, 0.380, 0.138)
P (0.109, 0.238, 0.368)
P (0.238, 0.109, 0.868)
P (0.332, 0.405, 0.071)
P (0.405, 0.332, 0.571)
P (0.595, 0.668, 0.429)
P (0.668, 0.595, 0.929)
P (0.762, 0.891, 0.132)
P (0.891, 0.762, 0.632)
O (0.015, 0.606, 0.692)
O (0.029, 0.894, 0.610)
O (0.096, 0.276, 0.821)
O (0.106, 0.971, 0.890)
O (0.213, 0.325, 0.128)
O (0.213, 0.587, 0.028)
O (0.218, 0.380, 0.476)
O (0.276, 0.096, 0.321)
O (0.325, 0.213, 0.628)
O (0.380, 0.218, 0.976)
O (0.394, 0.985, 0.808)
O (0.413, 0.787, 0.472)
O (0.455, 0.543, 0.639)
O (0.457, 0.545, 0.861)
O (0.543, 0.455, 0.139)
O (0.545, 0.457, 0.361)
O (0.587, 0.213, 0.528)
O (0.606, 0.015, 0.192)
O (0.620, 0.782, 0.024)
O (0.675, 0.787, 0.372)
O (0.724, 0.904, 0.679)
O (0.782, 0.620, 0.524)
O (0.787, 0.413, 0.972)
O (0.787, 0.675, 0.872)
O (0.894, 0.029, 0.110)
O (0.904, 0.724, 0.179)
O (0.971, 0.106, 0.390)
O (0.985, 0.394, 0.308)



Entry c
BiP2O7 after structural relaxation. Source: the Alexandria database, functional PBE.

## Properties
V = 16.1 Å³ per atom
total magnetic moment = 0.00 Bohr magnetons per cell

Cell: 5.215 8.796 7.444 Å, 90.00 109.03 90.00°
Fractional positions:
Bi (0.215, 0.000, 0.225)
Bi (0.785, 0.500, 0.775)
P (0.216, 0.734, 0.604)
P (0.401, 0.315, 0.014)
P (0.599, 0.815, 0.986)
P (0.784, 0.234, 0.396)
O (0.038, 0.198, 0.341)
O (0.119, 0.834, 0.427)
O (0.208, 0.451, 0.975)
O (0.264, 0.158, 0.997)
O (0.374, 0.592, 0.583)
O (0.413, 0.811, 0.109)
O (0.415, 0.842, 0.767)
O (0.585, 0.342, 0.233)
O (0.587, 0.311, 0.891)
O (0.626, 0.092, 0.417)
O (0.736, 0.658, 0.003)
O (0.792, 0.951, 0.025)
O (0.881, 0.334, 0.573)
O (0.962, 0.698, 0.659)



Preferred: entry c; penalty for the next structure: 1.4 kJ/mol of atoms.



Entry a
BiP2O7 after structural relaxation. Source: the Alexandria database, functional PBE.

## Properties
V = 15.6 Å³ per atom
total magnetic moment = 0.00 Bohr magnetons per cell

Cell: 6.840 6.895 7.323 Å, 68.39 77.07 80.49°
Fractional positions:
Bi (0.236, 0.270, 0.241)
Bi (0.764, 0.730, 0.759)
P (0.168, 0.743, 0.367)
P (0.277, 0.628, 0.765)
P (0.723, 0.372, 0.235)
P (0.832, 0.257, 0.633)
O (0.053, 0.196, 0.560)
O (0.069, 0.723, 0.838)
O (0.197, 0.610, 0.235)
O (0.268, 0.593, 0.560)
O (0.291, 0.934, 0.256)
O (0.340, 0.409, 0.905)
O (0.435, 0.785, 0.715)
O (0.565, 0.215, 0.285)
O (0.660, 0.591, 0.095)
O (0.709, 0.066, 0.744)
O (0.732, 0.407, 0.440)
O (0.803, 0.390, 0.765)
O (0.931, 0.277, 0.162)
O (0.947, 0.804, 0.440)



Entry b
BiP2O7 after structural relaxation. Source: the Alexandria database, functional PBE.

## Properties
V = 16.1 Å³ per atom
total magnetic moment = 0.00 Bohr magnetons per cell

Cell: 7.601 8.896 10.167 Å, 90.00 110.39 90.00°
Fractional positions:
Bi (0.238, 0.005, 0.247)
Bi (0.238, 0.495, 0.747)
Bi (0.762, 0.505, 0.253)
Bi (0.762, 0.995, 0.753)
P (0.181, 0.702, 0.438)
P (0.181, 0.798, 0.938)
P (0.422, 0.243, 0.544)
P (0.422, 0.257, 0.044)
P (0.578, 0.743, 0.956)
P (0.578, 0.757, 0.456)
P (0.819, 0.202, 0.062)
P (0.819, 0.298, 0.562)
O (0.059, 0.589, 0.332)
O (0.059, 0.911, 0.832)
O (0.141, 0.631, 0.897)
O (0.141, 0.869, 0.397)
O (0.181, 0.687, 0.588)
O (0.181, 0.813, 0.088)
O (0.294, 0.144, 0.080)
O (0.294, 0.356, 0.580)
O (0.331, 0.208, 0.386)
O (0.331, 0.292, 0.886)
O (0.388, 0.662, 0.437)
O (0.388, 0.838, 0.937)
O (0.473, 0.104, 0.638)
O (0.473, 0.396, 0.138)
O (0.527, 0.604, 0.862)
O (0.527, 0.896, 0.362)
O (0.612, 0.162, 0.063)
O (0.612, 0.338, 0.563)
O (0.669, 0.708, 0.114)
O (0.669, 0.792, 0.614)
O (0.706, 0.644, 0.420)
O (0.706, 0.856, 0.920)
O (0.819, 0.187, 0.912)
O (0.819, 0.313, 0.412)
O (0.859, 0.131, 0.603)
O (0.859, 0.369, 0.103)
O (0.941, 0.089, 0.168)
O (0.941, 0.411, 0.668)



Preferred: entry b; penalty for the next structure: 1.0 kJ/mol of atoms.



Entry a
BiPO after structural relaxation. Source: the Alexandria database, functional PBE.

## Properties
V = 22.9 Å³ per atom
total magnetic moment = 0.00 Bohr magnetons per cell

Cell: 4.635 5.439 5.658 Å, 105.54 90.24 93.50°
Fractional positions:
Bi (0.000, 0.000, 0.000)
Bi (0.024, 0.530, 0.526)
P (0.572, 0.793, 0.412)
P (0.639, 0.165, 0.701)
O (0.330, 0.238, 0.807)
O (0.567, 0.843, 0.148)



Entry b
BiPO after structural relaxation. Source: the Alexandria database, functional PBE.

## Properties
V = 24.8 Å³ per atom
total magnetic moment = 0.00 Bohr magnetons per cell

Cell: 5.188 5.223 6.361 Å, 112.59 107.10 94.36°
Fractional positions:
Bi (0.000, 0.000, 0.000)
Bi (0.493, 0.950, 0.559)
P (0.066, 0.499, 0.695)
P (0.349, 0.327, 0.922)
O (0.220, 0.554, 0.536)
O (0.779, 0.300, 0.537)



Preferred: entry b; penalty for the next structure: 13.0 kJ/mol of atoms.



Entry a
BiPO after structural relaxation. Source: the Alexandria database, functional PBE.

## Properties
V = 23.0 Å³ per atom
total magnetic moment = 0.00 Bohr magnetons per cell

Cell: 5.243 5.243 5.243 Å, 46.39 46.39 46.39°
Fractional positions:
Bi (0.000, 0.000, 0.000)
P (0.568, 0.568, 0.568)
O (0.456, 0.456, 0.456)



Entry b
BiPO after structural relaxation. Source: the Alexandria database, functional PBE.

## Properties
V = 22.9 Å³ per atom
total magnetic moment = 0.00 Bohr magnetons per cell

Cell: 4.522 4.707 6.735 Å, 103.16 90.40 99.48°
Fractional positions:
Bi (0.000, 0.000, 0.000)
Bi (0.034, 0.251, 0.467)
P (0.408, 0.645, 0.028)
P (0.454, 0.675, 0.364)
O (0.434, 0.999, 0.485)
O (0.782, 0.630, 0.405)



Entry c
BiPO after structural relaxation. Source: the Alexandria database, functional PBE.

## Properties
V = 19.5 Å³ per atom
total magnetic moment = 0.00 Bohr magnetons per cell

Cell: 9.295 9.295 9.295 Å, 160.79 153.69 32.78°
Fractional positions:
Bi (0.175, 0.175, 0.000)
Bi (0.825, 0.825, 0.000)
P (0.252, 0.000, 0.252)
P (0.748, 0.000, 0.748)
O (0.299, 0.299, 0.000)
O (0.701, 0.701, 0.000)



Entry d
BiPO after structural relaxation. Source: the Alexandria database, functional PBE.

## Properties
V = 22.9 Å³ per atom
total magnetic moment = 0.00 Bohr magnetons per cell

Cell: 4.100 4.100 4.729 Å, 90.00 90.00 120.00°
Fractional positions:
Bi (0.000, 0.000, 0.000)
P (0.333, 0.667, 0.702)
O (0.333, 0.667, 0.372)



Preferred: entry b; penalty for the next structure: 15.4 kJ/mol of atoms.



Entry a
BiPO after structural relaxation. Source: the Alexandria database, functional PBE.

## Properties
V = 21.1 Å³ per atom
total magnetic moment = 0.00 Bohr magnetons per cell

Cell: 3.323 4.289 4.731 Å, 90.00 110.28 90.00°
Fractional positions:
Bi (0.000, 0.000, 0.000)
P (0.356, 0.500, 0.712)
O (0.184, 0.500, 0.361)



Entry b
BiPO after structural relaxation. Source: the Alexandria database, functional PBE.

## Properties
V = 20.1 Å³ per atom
total magnetic moment = 0.00 Bohr magnetons per cell

Cell: 3.689 3.689 4.436 Å, 89.65 89.82 90.00°
Fractional positions:
Bi (0.000, 0.000, 0.000)
P (0.498, 0.497, 0.288)
O (0.497, 0.494, 0.639)



Preferred: entry b; penalty for the next structure: 3.3 kJ/mol of atoms.